# 1
An optimized crystal structure of BaSc2Br, computed with PBE.

Results
Uncorrected energy (eV per cell): -33.3
Excess energy over the best structure of this formula in the dataset (meV/atom): 286.8
Crystal system: orthorhombic
Formation energy (no corrections) (eV/atom): -0.10
DOS at the Fermi energy (states/eV/cell): 13.77

Lattice parameters (Å, degrees): 3.5878 6.5608 11.3853 90.00 90.00 90.00
Closest atoms and distances in Å follow each position.
Space group Imm2 (No. 44)
Symmetry-distinct sites (fractional):
1 Ba 0.0000 0.0000 0.0000 x2  2 Br 3.44, 2 Ba 3.59, 6 Sc 3.79-3.81
2 Sc 0.0000 0.0000 0.4440 x2  2 Br 2.78
3 Sc 0.0000 0.5000 0.1706 x2  2 Sc 3.14
4 Br 0.0000 0.5000 0.7576 x2  2 Sc 2.78

***

# 2
An optimized crystal structure of Ho8Zn2Tc, computed with PBE.

Results
Calculated formation energy (eV per atom): -0.142
Uncorrected energy (eV per cell): -102.2
Excess energy over the best structure of this formula in the dataset (meV/atom): 0.0
Crystal system: monoclinic
DOS at the Fermi energy (states/eV/cell): 13.44

Lattice parameters (Å, degrees): 17.2514 5.1707 6.7772 90.00 108.83 90.00
Closest atoms and distances in Å follow each position.
Space group C2/m (No. 12)
Symmetry-distinct sites (fractional):
1 Ho 0.0260 0.0000 0.2911 x4  1 Zn 2.93, 2 Tc 3.05, 1 Ho 3.24
2 Ho 0.0923 0.5000 0.9364 x4  1 Tc 2.87
3 Ho 0.1617 0.5000 0.4657 x4  3 Zn 2.86-3.20, 1 Tc 2.87
4 Ho 0.1953 0.0000 0.8027 x4  1 Zn 2.84
5 Zn 0.1830 0.0000 0.2102 x4  3 Ho 2.84-2.93
6 Tc 0.0000 0.5000 0.5000 x2  8 Ho 2.87-3.05

***

| no. | magnetization (μB/cell) |
| --- | --- |
| 1 | 1.49 |
| 2 | 0.00 |